The following is a DFT calculation (GGA-PBE) of a geometry-optimized La2Be2Cu structure.

Formation enthalpy at 0 K, meV per atom: 158
Symmetry: P4/mbm, No. 127

Unit cell a=6.601 b=6.601 c=4.594 alpha=90.00 beta=90.00 gamma=90.00
Element x y z (fractional)
Be (0.374, 0.874, 0.000)
La (0.830, 0.330, 0.500)
La (0.670, 0.830, 0.500)
La (0.170, 0.670, 0.500)
Be (0.626, 0.126, 0.000)
Cu (0.000, 0.000, 0.000)
Be (0.874, 0.626, 0.000)
Cu (0.500, 0.500, 0.000)
La (0.330, 0.170, 0.500)
Be (0.126, 0.374, 0.000)

=====

The following is a DFT calculation (GGA-PBE) of a geometry-optimized BaRePb2 structure.

Formation enthalpy at 0 K, meV per atom: 417
Symmetry: C2/m, No. 12
Relative energy among the computed polymorphs, kcal/mol of atoms: 0.00

Unit cell a=4.704 b=4.704 c=6.841 alpha=69.86 beta=69.86 gamma=60.04
Element x y z (fractional)
Re (0.750, 0.750, 0.750)
Ba (0.250, 0.250, 0.250)
Pb (0.033, 0.033, 0.900)
Pb (0.467, 0.467, 0.600)

=====

The following is a DFT calculation (GGA-PBE) of a geometry-optimized NaCa2AlCu structure.

Formation enthalpy at 0 K, meV per atom: -19
Symmetry: P4/mmm, No. 123

Unit cell a=5.634 b=5.634 c=4.687 alpha=90.00 beta=90.00 gamma=90.00
Element x y z (fractional)
Ca (0.000, 0.500, 0.000)
Cu (0.000, 0.000, 0.000)
Ca (0.500, 0.000, 0.000)
Al (0.000, 0.000, 0.500)
Na (0.500, 0.500, 0.500)

=====

These records have magnetic moment values of 0.00; 0.00; 0.00 μB per atom, in the order they appear.
These records have N(E_F) values of 3.43; 3.24; 3.05 states/eV/f.u., in the order they appear.